Record 1
{
  "formula": "SrSi2Sb",
  "functional": "PBE",
  "state": "optimized geometry",
  "formation_energy_uncorrected_ev_per_atom": -0.03,
  "lattice": [[8.241, -0.044, -0.026], [7.353, 3.720, -0.026], [7.353, 1.734, 3.292]],
  "species": ["Si", "Si", "Sb", "Sr"],
  "fractional_positions": [[0.274, 0.274, 0.274], [0.980, 0.980, 0.980], [0.733, 0.733, 0.733], [0.513, 0.513, 0.513]]
}

Record 2
{
  "formula": "DyHoSbSe",
  "functional": "PBE",
  "state": "optimized geometry",
  "formation_energy_uncorrected_ev_per_atom": -1.42,
  "lattice": [[4.238, 0.000, 0.000], [0.000, 4.232, 0.251], [0.000, -0.356, 5.974]],
  "species": ["Sb", "Ho", "Se", "Dy"],
  "fractional_positions": [[0.000, 0.891, 0.092], [0.000, 0.892, 0.592], [0.500, 0.392, 0.593], [0.500, 0.391, 0.093]]
}

Record 3
{
  "formula": "Tl2CrAs",
  "functional": "PBE",
  "state": "optimized geometry",
  "formation_enthalpy_0k_mev_per_atom": 119,
  "de_polymorph_mev_per_atom": 0,
  "lattice": [[-3.198, -1.076, -0.529], [1.184, -2.590, -1.887], [0.476, -4.799, 6.887]],
  "species": ["Cr", "As", "Tl", "Tl"],
  "fractional_positions": [[0.500, 0.500, 0.678], [0.000, 0.000, 0.582], [0.500, 0.500, 0.287], [0.000, 0.000, 0.954]]
}

Record 4
{
  "formula": "Rb2NaCeI6",
  "functional": "PBE",
  "state": "optimized geometry",
  "de_polymorph_mev_per_atom": 41,
  "formation_energy_uncorrected_ev_per_atom": -1.36,
  "lattice": [[8.844, 0.000, 0.000], [4.422, 7.659, 0.000], [4.422, 2.553, 7.221]],
  "species": ["Na", "I", "I", "I", "I", "I", "I", "Rb", "Rb", "Ce"],
  "fractional_positions": [[0.500, 0.500, 0.500], [0.249, 0.249, 0.751], [0.249, 0.751, 0.249], [0.249, 0.751, 0.751], [0.751, 0.751, 0.249], [0.751, 0.249, 0.751], [0.751, 0.249, 0.249], [0.250, 0.250, 0.250], [0.750, 0.750, 0.750], [0.000, 0.000, 0.000]]
}

Record 5
{
  "formula": "NaMg6Sn4",
  "functional": "PBE",
  "state": "optimized geometry",
  "formation_enthalpy_0k_mev_per_atom": -25,
  "lattice": [[7.561, -0.079, -0.117], [-3.566, 6.667, 0.117], [-3.566, -2.343, 6.243]],
  "species": ["Mg", "Mg", "Mg", "Mg", "Mg", "Mg", "Sn", "Sn", "Sn", "Sn", "Na"],
  "fractional_positions": [[0.284, 0.513, 0.513], [0.500, 0.000, 0.500], [0.000, 0.487, 0.771], [0.000, 0.771, 0.487], [0.716, 0.229, 0.229], [0.500, 0.500, 0.000], [0.000, 0.599, 0.132], [0.000, 0.132, 0.599], [0.533, 0.401, 0.401], [0.467, 0.868, 0.868], [0.000, 0.000, 0.000]]
}

Record 6
{
  "formula": "ThIrCl",
  "functional": "PBE",
  "state": "optimized geometry",
  "de_polymorph_mev_per_atom": 0,
  "formation_energy_uncorrected_ev_per_atom": -1.24,
  "lattice": [[-0.989, -3.503, 0.330], [2.504, -0.990, -3.023], [9.565, 1.049, 7.521]],
  "species": ["Th", "Th", "Ir", "Ir", "Cl", "Cl"],
  "fractional_positions": [[0.132, 0.948, 0.003], [0.397, 0.444, 0.333], [0.825, 0.945, 0.242], [0.704, 0.447, 0.093], [0.042, 0.443, 0.515], [0.487, 0.950, 0.821]]
}

Record 7
{
  "formula": "Ca4Cd2Bi",
  "functional": "PBE",
  "state": "optimized geometry",
  "formation_enthalpy_0k_mev_per_atom": -158,
  "lattice": [[-0.635, -4.167, -4.318], [-0.284, -4.317, 4.207], [-8.162, -3.412, 0.277]],
  "species": ["Cd", "Cd", "Ca", "Ca", "Ca", "Ca", "Bi"],
  "fractional_positions": [[0.403, 0.403, 0.194], [0.597, 0.597, 0.806], [0.799, 0.799, 0.402], [0.500, 0.000, 0.000], [0.000, 0.500, 0.000], [0.201, 0.201, 0.598], [0.000, 0.000, 0.000]]
}

Record 8
{
  "formula": "SmI4N2",
  "functional": "PBE",
  "state": "optimized geometry",
  "formation_energy_uncorrected_ev_per_atom": 0.12,
  "lattice": [[-2.862, 1.956, 1.853], [-3.387, -8.015, -5.421], [-3.779, -5.960, 4.518]],
  "species": ["I", "I", "I", "I", "N", "N", "Sm"],
  "fractional_positions": [[0.230, 0.743, 0.005], [0.770, 0.257, 0.995], [0.989, 0.240, 0.507], [0.011, 0.760, 0.493], [0.640, 0.824, 0.363], [0.360, 0.176, 0.637], [0.000, 0.000, 0.000]]
}

Record 9
{
  "formula": "ScCdRh2",
  "functional": "PBE",
  "state": "optimized geometry",
  "formation_enthalpy_0k_mev_per_atom": -473,
  "lattice": [[-0.430, -4.476, 2.591], [4.405, -2.683, 0.577], [-1.490, 4.908, 0.793]],
  "species": ["Sc", "Rh", "Rh", "Cd"],
  "fractional_positions": [[0.500, 0.500, 0.000], [0.250, 0.750, 0.500], [0.000, 0.000, 0.000], [0.750, 0.250, 0.500]]
}

Record 10
{
  "formula": "DyGa4PdRh2",
  "functional": "PBE",
  "state": "optimized geometry",
  "formation_enthalpy_0k_mev_per_atom": -655,
  "lattice": [[-3.158, -2.284, -1.739], [-1.457, -3.485, 1.986], [-7.278, 2.847, 4.243]],
  "species": ["Ga", "Ga", "Ga", "Ga", "Dy", "Rh", "Rh", "Pd"],
  "fractional_positions": [[0.129, 0.129, 0.614], [0.397, 0.397, 0.808], [0.871, 0.871, 0.386], [0.603, 0.603, 0.192], [0.000, 0.000, 0.000], [0.235, 0.235, 0.296], [0.765, 0.765, 0.704], [0.500, 0.500, 0.500]]
}

Record 11
{
  "formula": "InSiIO2",
  "functional": "PBE",
  "state": "optimized geometry",
  "de_polymorph_mev_per_atom": 454,
  "formation_energy_uncorrected_ev_per_atom": 0.06,
  "lattice": [[-1.444, 3.958, 0.405], [-1.254, -0.862, 3.950], [5.201, 1.690, 2.021]],
  "species": ["In", "I", "O", "O", "Si"],
  "fractional_positions": [[0.000, 0.000, 0.000], [0.000, 0.000, 0.500], [0.500, 0.000, 0.000], [0.000, 0.500, 0.000], [0.500, 0.500, 0.500]]
}

Record 12
{
  "formula": "Tb2Er7Tl2",
  "functional": "PBE",
  "state": "optimized geometry",
  "formation_enthalpy_0k_mev_per_atom": -16,
  "lattice": [[3.633, 0.000, 0.000], [1.816, 10.874, 0.910], [1.816, 5.957, 9.143]],
  "species": ["Er", "Er", "Er", "Er", "Er", "Er", "Er", "Tl", "Tl", "Tb", "Tb"],
  "fractional_positions": [[0.867, 0.394, 0.872], [0.633, 0.447, 0.286], [0.159, 0.732, 0.949], [0.841, 0.051, 0.268], [0.133, 0.128, 0.606], [0.367, 0.714, 0.553], [0.500, 0.052, 0.948], [0.742, 0.862, 0.654], [0.258, 0.346, 0.138], [0.000, 0.728, 0.272], [0.500, 0.399, 0.601]]
}